[1]
The following is a PBE calculation of crystalline GdMgZn at its relaxed geometry, from OQMD.

CIF file:
```
data_GdMgZn
_chemical_formula_sum 'Gd2 Mg2 Zn2'
_space_group_name_H-M_alt 'P 1'
_space_group_IT_number 1
_cell_length_a 4.649
_cell_length_b 4.649
_cell_length_c 7.453
_cell_angle_alpha 90.00
_cell_angle_beta 90.00
_cell_angle_gamma 120.00
loop_
_space_group_symop_operation_xyz
'x,y,z'
loop_
_atom_site_label
_atom_site_type_symbol
_atom_site_fract_x
_atom_site_fract_y
_atom_site_fract_z
Mg1 Mg 0.667 0.333 0.535
Mg2 Mg 0.333 0.667 0.465
Zn1 Zn 0.667 0.333 0.987
Zn2 Zn 0.333 0.667 0.013
Gd1 Gd 0.000 0.000 0.220
Gd2 Gd 0.000 0.000 0.780
```

Uncorrected energy ... -2.6243 eV/atom
Calculated density ... 5.88 g/cm³
SG ... P-3m1, No. 164

---

[2]
The following is a PBE calculation of crystalline HfBeCdPd at its relaxed geometry, from OQMD.

CIF file:
```
data_HfBeCdPd
_chemical_formula_sum 'Hf1 Be1 Cd1 Pd1'
_space_group_name_H-M_alt 'P 1'
_space_group_IT_number 1
_cell_length_a 4.517
_cell_length_b 4.517
_cell_length_c 4.517
_cell_angle_alpha 60.00
_cell_angle_beta 60.00
_cell_angle_gamma 60.00
loop_
_space_group_symop_operation_xyz
'x,y,z'
loop_
_atom_site_label
_atom_site_type_symbol
_atom_site_fract_x
_atom_site_fract_y
_atom_site_fract_z
Cd1 Cd 0.250 0.250 0.250
Be1 Be 0.750 0.750 0.750
Pd1 Pd 0.500 0.500 0.500
Hf1 Hf 0.000 0.000 0.000
```

Uncorrected energy ... -4.9787 eV/atom
Energy above the most stable polymorph in this dataset ... 0.675 eV per formula unit
Calculated density ... 10.35 g/cm³
SG ... F-43m, No. 216